[1]
Computed, not measured: a geometry-optimized BeSn3Au structure at the PBE level of DFT.

Values from the calculation:
- DFT total energy (eV per cell) = -14.787
- formation energy from the elements (meV per atom) = 845
- distance to the lowest polymorph of the same formula (eV per atom) = 0.5039

abc: 5.385 5.385 5.385
angles: 90.00 90.00 90.00
Fractional positions:
Be 0.000 0.000 0.000
Sn 0.000 0.500 0.500
Sn 0.500 0.000 0.500
Sn 0.500 0.500 0.000
Au 0.500 0.500 0.500

[2]
Computed, not measured: a geometry-optimized BeSn2Au2 structure at the PBE level of DFT.

Values from the calculation:
- DFT total energy (eV per cell) = -33.777
- formation energy from the elements (meV per atom) = 280
- distance to the lowest polymorph of the same formula (eV per atom) = 0.1759

abc: 7.045 7.045 4.330
angles: 90.00 90.00 90.00
Fractional positions:
Be 0.000 0.000 0.000
Be 0.500 0.500 0.000
Sn 0.171 0.329 0.000
Sn 0.329 0.829 0.000
Sn 0.671 0.171 0.000
Sn 0.829 0.671 0.000
Au 0.142 0.642 0.500
Au 0.358 0.142 0.500
Au 0.642 0.858 0.500
Au 0.858 0.358 0.500

[3]
Computed, not measured: a geometry-optimized BeSnAu4 structure at the PBE level of DFT.

Values from the calculation:
- DFT total energy (eV per cell) = -42.422
- formation energy from the elements (meV per atom) = -62
- distance to the lowest polymorph of the same formula (eV per atom) = 0.0000

abc: 6.867 6.867 5.274
angles: 105.01 105.01 101.23
Fractional positions:
Be 0.003 0.997 0.750
Be 0.997 0.003 0.250
Sn 0.394 0.606 0.750
Sn 0.606 0.394 0.250
Au 0.064 0.704 0.401
Au 0.155 0.325 0.167
Au 0.296 0.936 0.099
Au 0.325 0.155 0.667
Au 0.675 0.845 0.333
Au 0.704 0.064 0.901
Au 0.845 0.675 0.833
Au 0.936 0.296 0.599

[4]
Computed, not measured: a geometry-optimized BeSnAu structure at the PBE level of DFT.

Values from the calculation:
- DFT total energy (eV per cell) = -43.401
- formation energy from the elements (meV per atom) = 52
- distance to the lowest polymorph of the same formula (eV per atom) = 0.1181

abc: 6.011 6.011 6.011
angles: 90.00 90.00 90.00
Fractional positions:
Be 0.000 0.000 0.000
Be 0.000 0.500 0.500
Be 0.500 0.000 0.500
Be 0.500 0.500 0.000
Sn 0.250 0.250 0.750
Sn 0.250 0.750 0.250
Sn 0.750 0.250 0.250
Sn 0.750 0.750 0.750
Au 0.250 0.250 0.250
Au 0.250 0.750 0.750
Au 0.750 0.250 0.750
Au 0.750 0.750 0.250

[5]
Computed, not measured: a geometry-optimized BeSnAu4 structure at the PBE level of DFT.

Values from the calculation:
- DFT total energy (eV per cell) = -42.093
- formation energy from the elements (meV per atom) = -35
- distance to the lowest polymorph of the same formula (eV per atom) = 0.0274

abc: 8.944 8.944 4.639
angles: 101.54 101.54 38.18
Fractional positions:
Be 0.000 0.500 0.000
Be 0.500 0.000 0.500
Sn 0.227 0.773 0.750
Sn 0.773 0.227 0.250
Au 0.047 0.312 0.382
Au 0.245 0.542 0.169
Au 0.312 0.047 0.882
Au 0.458 0.755 0.331
Au 0.542 0.245 0.669
Au 0.688 0.953 0.118
Au 0.755 0.458 0.831
Au 0.953 0.688 0.618

[6]
Computed, not measured: a geometry-optimized Be3SnAu3 structure at the PBE level of DFT.

Values from the calculation:
- DFT total energy (eV per cell) = -47.316
- formation energy from the elements (meV per atom) = 194

abc: 6.393 6.393 6.393
angles: 90.00 90.00 90.00
Fractional positions:
Be 0.000 0.250 0.500
Be 0.000 0.750 0.500
Be 0.250 0.500 0.000
Be 0.500 0.000 0.250
Be 0.500 0.000 0.750
Be 0.750 0.500 0.000
Sn 0.000 0.000 0.000
Sn 0.500 0.500 0.500
Au 0.000 0.500 0.250
Au 0.000 0.500 0.750
Au 0.250 0.000 0.500
Au 0.500 0.250 0.000
Au 0.500 0.750 0.000
Au 0.750 0.000 0.500

[7]
Computed, not measured: a geometry-optimized BeSn2Au2 structure at the PBE level of DFT.

Values from the calculation:
- DFT total energy (eV per cell) = -35.536
- formation energy from the elements (meV per atom) = 104
- distance to the lowest polymorph of the same formula (eV per atom) = 0.0000

abc: 6.625 6.625 4.748
angles: 90.00 90.00 90.00
Fractional positions:
Be 0.000 0.000 0.000
Be 0.500 0.500 0.000
Sn 0.167 0.333 0.500
Sn 0.333 0.833 0.500
Sn 0.667 0.167 0.500
Sn 0.833 0.667 0.500
Au 0.168 0.668 0.000
Au 0.332 0.168 0.000
Au 0.668 0.832 0.000
Au 0.832 0.332 0.000

[8]
Computed, not measured: a geometry-optimized BeSnAu structure at the PBE level of DFT.

Values from the calculation:
- DFT total energy (eV per cell) = -44.818
- formation energy from the elements (meV per atom) = -66
- distance to the lowest polymorph of the same formula (eV per atom) = 0.0000

abc: 3.117 3.117 23.041
angles: 90.00 90.00 90.00
Fractional positions:
Be 0.000 0.000 0.221
Be 0.000 0.000 0.779
Be 0.500 0.500 0.279
Be 0.500 0.500 0.721
Sn 0.000 0.000 0.074
Sn 0.000 0.000 0.926
Sn 0.500 0.500 0.426
Sn 0.500 0.500 0.574
Au 0.000 0.000 0.325
Au 0.000 0.000 0.675
Au 0.500 0.500 0.175
Au 0.500 0.500 0.825

[9]
Computed, not measured: a geometry-optimized Sr2BeSnAu6 structure at the PBE level of DFT.

Values from the calculation:
- DFT total energy (eV per cell) = -35.516
- formation energy from the elements (meV per atom) = -476

abc: 6.594 6.594 7.308
angles: 116.44 116.44 60.01
Fractional positions:
Sr 0.226 0.226 0.173
Sr 0.774 0.774 0.827
Be 0.000 0.000 0.500
Sn 0.500 0.500 0.000
Au 0.231 0.694 0.664
Au 0.234 0.234 0.673
Au 0.306 0.769 0.336
Au 0.694 0.231 0.664
Au 0.766 0.766 0.327
Au 0.769 0.306 0.336

[10]
Computed, not measured: a geometry-optimized BeZn2SnAu5 structure at the PBE level of DFT.

Values from the calculation:
- DFT total energy (eV per cell) = -27.103
- formation energy from the elements (meV per atom) = -49

abc: 7.819 7.819 7.819
angles: 146.24 138.53 54.50
Fractional positions:
Be 0.000 0.000 0.000
Zn 0.197 0.697 0.500
Zn 0.803 0.303 0.500
Sn 0.500 0.500 0.000
Au 0.000 0.500 0.500
Au 0.112 0.860 0.252
Au 0.392 0.140 0.252
Au 0.608 0.860 0.748
Au 0.888 0.140 0.748

[11]
Computed, not measured: a geometry-optimized Sr2BeAu structure at the PBE level of DFT.

Values from the calculation:
- DFT total energy (eV per cell) = -30.652
- formation energy from the elements (meV per atom) = 37

abc: 4.475 4.475 22.694
angles: 90.00 90.00 120.00
Fractional positions:
Sr 0.000 0.000 0.249
Sr 0.000 0.000 0.751
Sr 0.333 0.667 0.418
Sr 0.333 0.667 0.916
Sr 0.667 0.333 0.084
Sr 0.667 0.333 0.582
Be 0.000 0.000 0.000
Be 0.333 0.667 0.667
Be 0.667 0.333 0.333
Au 0.000 0.000 0.500
Au 0.333 0.667 0.167
Au 0.667 0.333 0.833

[12]
Computed, not measured: a geometry-optimized SrBe2Au structure at the PBE level of DFT.

Values from the calculation:
- DFT total energy (eV per cell) = -44.783
- formation energy from the elements (meV per atom) = 304
- distance to the lowest polymorph of the same formula (eV per atom) = 0.5190

abc: 6.521 6.521 6.521
angles: 90.00 90.00 90.00
Fractional positions:
Sr 0.000 0.000 0.000
Sr 0.000 0.500 0.500
Sr 0.500 0.000 0.500
Sr 0.500 0.500 0.000
Be 0.250 0.250 0.250
Be 0.250 0.250 0.750
Be 0.250 0.750 0.250
Be 0.250 0.750 0.750
Be 0.750 0.250 0.250
Be 0.750 0.250 0.750
Be 0.750 0.750 0.250
Be 0.750 0.750 0.750
Au 0.000 0.000 0.500
Au 0.000 0.500 0.000
Au 0.500 0.000 0.000
Au 0.500 0.500 0.500

[13]
Computed, not measured: a geometry-optimized SrBe2Au6 structure at the PBE level of DFT.

Values from the calculation:
- DFT total energy (eV per cell) = -61.613
- formation energy from the elements (meV per atom) = -223

abc: 8.106 8.106 8.106
angles: 60.00 60.00 60.00
Fractional positions:
Sr 0.125 0.125 0.125
Sr 0.875 0.875 0.875
Be 0.000 0.500 0.500
Be 0.500 0.000 0.500
Be 0.500 0.500 0.000
Be 0.500 0.500 0.500
Au 0.154 0.154 0.596
Au 0.154 0.596 0.154
Au 0.154 0.596 0.596
Au 0.404 0.404 0.846
Au 0.404 0.846 0.404
Au 0.404 0.846 0.846
Au 0.596 0.154 0.154
Au 0.596 0.154 0.596
Au 0.596 0.596 0.154
Au 0.846 0.404 0.404
Au 0.846 0.404 0.846
Au 0.846 0.846 0.404

[14]
Computed, not measured: a geometry-optimized SrBe2Au structure at the PBE level of DFT.

Values from the calculation:
- DFT total energy (eV per cell) = -11.650
- formation energy from the elements (meV per atom) = 190
- distance to the lowest polymorph of the same formula (eV per atom) = 0.4054

abc: 3.224 3.224 6.932
angles: 90.00 90.00 90.00
Fractional positions:
Sr 0.000 0.000 0.000
Be 0.500 0.500 0.336
Be 0.500 0.500 0.664
Au 0.000 0.000 0.500

[15]
Computed, not measured: a geometry-optimized SrBe2Au structure at the PBE level of DFT.

Values from the calculation:
- DFT total energy (eV per cell) = -12.578
- formation energy from the elements (meV per atom) = -42
- distance to the lowest polymorph of the same formula (eV per atom) = 0.1734

abc: 4.268 4.354 4.672
angles: 90.00 90.00 90.00
Fractional positions:
Sr 0.000 0.000 0.000
Be 0.500 0.255 0.500
Be 0.500 0.745 0.500
Au 0.000 0.500 0.500

[16]
Computed, not measured: a geometry-optimized Sr3BeAu structure at the PBE level of DFT.

Values from the calculation:
- DFT total energy (eV per cell) = -10.997
- formation energy from the elements (meV per atom) = 210
- distance to the lowest polymorph of the same formula (eV per atom) = 0.0000

abc: 5.992 5.992 5.992
angles: 90.00 90.00 90.00
Fractional positions:
Sr 0.000 0.000 0.500
Sr 0.000 0.500 0.000
Sr 0.500 0.000 0.000
Be 0.500 0.500 0.500
Au 0.000 0.000 0.000

[17]
Computed, not measured: a geometry-optimized Sr2BeAu structure at the PBE level of DFT.

Values from the calculation:
- DFT total energy (eV per cell) = -10.225
- formation energy from the elements (meV per atom) = 36

abc: 4.527 4.527 6.391
angles: 90.00 90.00 90.00
Fractional positions:
Sr 0.000 0.000 0.000
Sr 0.500 0.500 0.498
Be 0.500 0.500 0.997
Au 0.000 0.000 0.500

[18]
Computed, not measured: a geometry-optimized Sr2BeAu5 structure at the PBE level of DFT.

Values from the calculation:
- DFT total energy (eV per cell) = -55.472
- formation energy from the elements (meV per atom) = -532

abc: 6.315 6.315 9.664
angles: 90.00 90.00 90.00
Fractional positions:
Sr 0.000 0.500 0.000
Sr 0.000 0.500 0.500
Sr 0.500 0.000 0.000
Sr 0.500 0.000 0.500
Be 0.000 0.000 0.175
Be 0.500 0.500 0.675
Au 0.000 0.000 0.935
Au 0.248 0.248 0.746
Au 0.248 0.752 0.746
Au 0.252 0.252 0.246
Au 0.252 0.748 0.246
Au 0.500 0.500 0.435
Au 0.748 0.252 0.246
Au 0.748 0.748 0.246
Au 0.752 0.248 0.746
Au 0.752 0.752 0.746

[19]
Computed, not measured: a geometry-optimized SrBeAu3 structure at the PBE level of DFT.

Values from the calculation:
- DFT total energy (eV per cell) = -9.725
- formation energy from the elements (meV per atom) = 1103
- distance to the lowest polymorph of the same formula (eV per atom) = 1.5889

abc: 5.796 5.796 5.796
angles: 90.00 90.00 90.00
Fractional positions:
Sr 0.000 0.000 0.000
Be 0.500 0.500 0.500
Au 0.000 0.000 0.500
Au 0.000 0.500 0.000
Au 0.500 0.000 0.000

[20]
Computed, not measured: a geometry-optimized Sr2BeAu structure at the PBE level of DFT.

Values from the calculation:
- DFT total energy (eV per cell) = -38.075
- formation energy from the elements (meV per atom) = 212

abc: 8.259 8.259 7.783
angles: 90.00 90.00 90.00
Fractional positions:
Sr 0.249 0.250 0.125
Sr 0.250 0.749 0.375
Sr 0.250 0.751 0.875
Sr 0.251 0.250 0.625
Sr 0.749 0.750 0.625
Sr 0.750 0.249 0.875
Sr 0.750 0.251 0.375
Sr 0.751 0.750 0.125
Be 0.000 0.000 0.000
Be 0.000 0.500 0.250
Be 0.500 0.000 0.750
Be 0.500 0.500 0.500
Au 0.000 0.000 0.500
Au 0.000 0.500 0.750
Au 0.500 0.000 0.250
Au 0.500 0.500 0.000

[21]
Computed, not measured: a geometry-optimized SrBeAu4 structure at the PBE level of DFT.

Values from the calculation:
- DFT total energy (eV per cell) = -41.480
- formation energy from the elements (meV per atom) = -370
- distance to the lowest polymorph of the same formula (eV per atom) = 0.0515

abc: 5.316 7.053 7.560
angles: 62.21 85.19 89.98
Fractional positions:
Sr 0.250 0.201 0.499
Sr 0.750 0.799 0.501
Be 0.000 0.500 0.000
Be 0.500 0.000 0.000
Au 0.113 0.142 0.081
Au 0.221 0.519 0.705
Au 0.280 0.724 0.296
Au 0.387 0.723 0.920
Au 0.613 0.277 0.080
Au 0.720 0.276 0.704
Au 0.779 0.481 0.295
Au 0.887 0.858 0.919

[22]
Computed, not measured: a geometry-optimized SrBe2Au structure at the PBE level of DFT.

Values from the calculation:
- DFT total energy (eV per cell) = -23.647
- formation energy from the elements (meV per atom) = 147
- distance to the lowest polymorph of the same formula (eV per atom) = 0.3621

abc: 4.183 5.603 6.905
angles: 90.00 90.00 90.00
Fractional positions:
Sr 0.000 0.000 0.000
Sr 0.500 0.500 0.500
Be 0.000 0.500 0.158
Be 0.000 0.500 0.842
Be 0.500 0.000 0.342
Be 0.500 0.000 0.658
Au 0.000 0.000 0.500
Au 0.500 0.500 0.000

[23]
Computed, not measured: a geometry-optimized SrBe2Au structure at the PBE level of DFT.

Values from the calculation:
- DFT total energy (eV per cell) = -12.219
- formation energy from the elements (meV per atom) = 48
- distance to the lowest polymorph of the same formula (eV per atom) = 0.2632

abc: 3.680 3.839 5.703
angles: 90.00 101.90 90.00
Fractional positions:
Sr 0.000 0.000 0.000
Be 0.369 0.500 0.682
Be 0.421 0.000 0.524
Au 0.791 0.500 0.444

[24]
Computed, not measured: a geometry-optimized SrBe4Au structure at the PBE level of DFT.

Values from the calculation:
- DFT total energy (eV per cell) = -18.156
- formation energy from the elements (meV per atom) = 285

abc: 4.947 4.947 4.947
angles: 60.00 60.00 60.00
Fractional positions:
Sr 0.000 0.000 0.000
Be 0.382 0.382 0.382
Be 0.382 0.382 0.853
Be 0.382 0.853 0.382
Be 0.853 0.382 0.382
Au 0.750 0.750 0.750

[25]
Computed, not measured: a geometry-optimized SrBe2Au structure at the PBE level of DFT.

Values from the calculation:
- DFT total energy (eV per cell) = -23.218
- formation energy from the elements (meV per atom) = 201
- distance to the lowest polymorph of the same formula (eV per atom) = 0.4156

abc: 4.079 5.778 7.169
angles: 90.00 90.00 90.00
Fractional positions:
Sr 0.000 0.000 0.000
Sr 0.500 0.500 0.500
Be 0.000 0.000 0.470
Be 0.000 0.500 0.835
Be 0.500 0.000 0.335
Be 0.500 0.500 0.970
Au 0.000 0.500 0.152
Au 0.500 0.000 0.652